#1
The following is a PBE calculation of a geometry-optimized La3Tb4 structure, from Alexandria via LeMat-Bulk.

Lattice parameters (Å, degrees): 8.613 8.613 8.613 109.47 109.47 109.47
Fractional coordinates of all 14 atoms:
1 La 0.125 0.750 0.875
2 La 0.250 0.625 0.375
3 La 0.375 0.250 0.625
4 La 0.625 0.375 0.250
5 La 0.750 0.875 0.125
6 La 0.875 0.125 0.750
7 Tb 0.000 0.335 0.500
8 Tb 0.000 0.835 0.500
9 Tb 0.165 0.165 0.165
10 Tb 0.335 0.500 0.000
11 Tb 0.500 0.000 0.335
12 Tb 0.500 0.000 0.835
13 Tb 0.665 0.665 0.665
14 Tb 0.835 0.500 0.000

Output
space-group type: I-43d (220)



#2
The following is a PBE calculation of a geometry-optimized La3Tb4 structure, from Alexandria via LeMat-Bulk.

Lattice parameters (Å, degrees): 18.146 18.146 18.146 168.44 168.44 16.37
Fractional coordinates of all 7 atoms:
1 La 0.000 0.000 0.000
2 La 0.287 0.287 0.000
3 La 0.713 0.713 0.000
4 Tb 0.140 0.140 0.000
5 Tb 0.428 0.428 0.000
6 Tb 0.572 0.572 0.000
7 Tb 0.860 0.860 0.000

Output
space-group type: I4/mmm (139)



#2 wins, 0.231 eV/atom ahead of the next structure.



#1
The following is a PBE calculation of a geometry-optimized LaTb2Tc structure, from Alexandria via LeMat-Bulk.

Lattice parameters (Å, degrees): 11.195 11.195 11.195 17.77 17.77 17.77
Fractional coordinates of all 4 atoms:
1 La 0.000 0.000 0.000
2 Tb 0.106 0.106 0.106
3 Tb 0.894 0.894 0.894
4 Tc 0.500 0.500 0.500

Output
space-group type: R-3m (166)



#2
The following is a PBE calculation of a geometry-optimized LaTb2Tc structure, from Alexandria via LeMat-Bulk.

Lattice parameters (Å, degrees): 3.475 3.475 9.299 90.00 90.00 90.00
Fractional coordinates of all 4 atoms:
1 La 0.000 0.000 0.000
2 Tb 0.500 0.500 0.322
3 Tb 0.500 0.500 0.678
4 Tc 0.000 0.000 0.500

Output
space-group type: P4/mmm (123)



#3
The following is a PBE calculation of a geometry-optimized LaTb2Tc structure, from Alexandria via LeMat-Bulk.

Lattice parameters (Å, degrees): 7.402 9.426 6.508 90.00 90.00 90.00
Fractional coordinates of all 16 atoms:
1 La 0.055 0.250 0.129
2 La 0.445 0.750 0.629
3 La 0.555 0.250 0.371
4 La 0.945 0.750 0.871
5 Tb 0.175 0.067 0.664
6 Tb 0.175 0.433 0.664
7 Tb 0.325 0.567 0.164
8 Tb 0.325 0.933 0.164
9 Tb 0.675 0.067 0.836
10 Tb 0.675 0.433 0.836
11 Tb 0.825 0.567 0.336
12 Tb 0.825 0.933 0.336
13 Tc 0.123 0.750 0.476
14 Tc 0.377 0.250 0.976
15 Tc 0.623 0.750 0.024
16 Tc 0.877 0.250 0.524

Output
space-group type: Pnma (62)



#3 wins, 0.120 eV/atom ahead of the next structure.



#1
The following is a PBE calculation of a geometry-optimized LaTb3Tc structure, from Alexandria via LeMat-Bulk.

Lattice parameters (Å, degrees): 5.924 8.926 5.935 90.00 100.23 90.00
Fractional coordinates of all 10 atoms:
1 La 0.217 0.250 0.302
2 La 0.783 0.750 0.698
3 Tb 0.196 0.750 0.282
4 Tb 0.278 0.506 0.779
5 Tb 0.278 0.994 0.779
6 Tb 0.722 0.006 0.221
7 Tb 0.722 0.494 0.221
8 Tb 0.804 0.250 0.718
9 Tc 0.471 0.250 0.994
10 Tc 0.529 0.750 0.006

Output
space-group type: P2_1/m (11)



#2
The following is a PBE calculation of a geometry-optimized LaTb3Tc structure, from Alexandria via LeMat-Bulk.

Lattice parameters (Å, degrees): 5.440 5.440 5.440 90.00 90.00 90.00
Fractional coordinates of all 5 atoms:
1 La 0.000 0.000 0.000
2 Tb 0.000 0.500 0.500
3 Tb 0.500 0.000 0.500
4 Tb 0.500 0.500 0.000
5 Tc 0.500 0.500 0.500

Output
space-group type: Pm-3m (221)



#1 wins, 0.107 eV/atom ahead of the next structure.